# 1
A plane-wave DFT calculation with PBE was carried out for an optimized crystal structure of HgTeN2O.

Values from the calculation:
DFT total energy: -3.0537 eV per atom
Fermi-level density of states: 2.49 states/eV/cell
Formation energy (no corrections): 1957 meV per atom
Space-group type: P4/mmm (123)

Lattice parameters (Å, degrees): 4.1869 4.1869 4.3118 90.00 90.00 90.00
Atoms (fractional coordinates):
Te (0.0000, 0.0000, 0.5000)
Hg (0.5000, 0.5000, 0.5000)
O (0.0000, 0.0000, 0.0000)
N (0.0000, 0.5000, 0.0000)
N (0.5000, 0.0000, 0.0000)

***

# 2
A plane-wave DFT calculation with PBE was carried out for an optimized crystal structure of LaBH2O4.

Values from the calculation:
DFT total energy: -6.8847 eV per atom
Fermi-level density of states: 0.00 states/eV/cell
Space-group type: I222 (23)

Lattice parameters (Å, degrees): 4.0033 4.6958 4.6958 74.57 64.77 64.77
Atoms (fractional coordinates):
La (0.0000, 0.0000, 0.0000)
B (0.5000, 0.5000, 0.5000)
H (0.1442, 0.3558, 0.3558)
H (0.8558, 0.6442, 0.6442)
O (0.4037, 0.2282, 0.4857)
O (0.1176, 0.7718, 0.5143)
O (0.8824, 0.4857, 0.2282)
O (0.5963, 0.5143, 0.7718)

***

# 3
A plane-wave DFT calculation with PBE was carried out for an optimized crystal structure of GaMoPb3.

Values from the calculation:
DFT total energy: -3.8695 eV per atom
ΔH_f (0 K): 108.7 kJ/mol of atoms
Fermi-level density of states: 3.65 states/eV/cell
Space-group type: Pm-3m (221)

Lattice parameters (Å, degrees): 5.4338 5.4338 5.4338 90.00 90.00 90.00
Atoms (fractional coordinates):
Pb (0.0000, 0.5000, 0.0000)
Pb (0.0000, 0.0000, 0.5000)
Pb (0.5000, 0.0000, 0.0000)
Mo (0.5000, 0.5000, 0.5000)
Ga (0.0000, 0.0000, 0.0000)

***

# 4
A plane-wave DFT calculation with PBE was carried out for an optimized crystal structure of Tm3MgPb2.

Values from the calculation:
DFT total energy: -4.1242 eV per atom
ΔH_f (0 K): -37.3 kJ/mol of atoms
Fermi-level density of states: 3.52 states/eV/cell
Space-group type: C2/m (12)

Lattice parameters (Å, degrees): 4.5022 4.5059 8.7428 104.94 104.97 89.98
Atoms (fractional coordinates):
Tm (0.5000, 0.5000, 0.0000)
Tm (0.8301, 0.3306, 0.6601)
Tm (0.1699, 0.6694, 0.3399)
Mg (0.0000, 0.0000, 0.0000)
Pb (0.3615, 0.8618, 0.7230)
Pb (0.6385, 0.1382, 0.2770)